VASP calculation (PBE) on a relaxed K2CuNi crystal.

The offset from the most stable computed form is 146 kJ/mol of formula units. The value obtained for the density is 3.13 g/cm³. The formation energy comes out at 753.3 meV/atom. The space group is No. 47. For the density of states at the Fermi level, the calculation gives 4.1 states/eV per cell.

Unit cell a=2.9024 b=4.3247 c=8.4817 alpha=90.00 beta=90.00 gamma=90.00
With the nearest neighbours (Å) after each atom.
Positions (direct):
K  0.0000  0.0000  0.2419  2 K 2.90
K  0.0000  0.0000  0.7581  2 K 2.90
Cu  0.5000  0.5000  0.5000  2 Cu 2.90
Ni  0.5000  0.5000  0.0000  2 Ni 2.90

***

VASP calculation (PBE) on a relaxed InAgBi2H crystal.

The offset from the most stable computed form is 0 kJ/mol of formula units. The value obtained for the density is 8.90 g/cm³. The space group is No. 123. For the density of states at the Fermi level, the calculation gives 2.4 states/eV per cell.

Unit cell a=5.8738 b=5.8738 c=3.4682 alpha=90.00 beta=90.00 gamma=90.00
With the nearest neighbours (Å) after each atom.
Positions (direct):
In  0.0000  0.0000  0.0000  8 Bi 3.41, 2 In 3.47
Ag  0.5000  0.5000  0.5000  2 H 1.73
Bi  0.0000  0.5000  0.5000  2 Ag 2.94
Bi  0.5000  0.0000  0.5000  2 Ag 2.94
H  0.5000  0.5000  0.0000  2 Ag 1.73

***

VASP calculation (PBE) on a relaxed SrZnSn2S6 crystal.

The value obtained for the density is 3.44 g/cm³. The space group is No. 15. The calculated total energy comes out at -4.303 eV per atom.

Unit cell a=9.1030 b=9.1030 c=7.3997 alpha=106.73 beta=106.73 gamma=84.58
With the nearest neighbours (Å) after each atom.
Positions (direct):
Sr  0.1373  0.8627  0.7500  6 S 2.96-3.09
Sr  0.8627  0.1373  0.2500  6 S 2.96-3.09
Zn  0.2020  0.7980  0.2500  4 S 2.32-2.45
Zn  0.7980  0.2020  0.7500  4 S 2.32-2.45
Sn  0.2271  0.3793  0.8176  4 S 2.41-2.48
Sn  0.3793  0.2271  0.3176  4 S 2.41-2.48
Sn  0.6207  0.7729  0.6824  4 S 2.41-2.48
Sn  0.7729  0.6207  0.1824  4 S 2.41-2.48
S  0.0415  0.1756  0.6644  1 Sn 2.42, 1 Zn 2.45
S  0.1172  0.6251  0.9433  1 Zn 2.32, 1 Sn 2.41
S  0.1756  0.0415  0.1644  1 Sn 2.42, 1 Zn 2.45
S  0.2958  0.4448  0.5490  2 Sn 2.44-2.48
S  0.3749  0.8828  0.5567  1 Zn 2.32, 1 Sn 2.41
S  0.4448  0.2958  0.0490  2 Sn 2.44-2.48
S  0.5552  0.7042  0.9510  2 Sn 2.44-2.48
S  0.6251  0.1172  0.4433  1 Zn 2.32, 1 Sn 2.41
S  0.7042  0.5552  0.4510  2 Sn 2.44-2.48
S  0.8244  0.9585  0.8356  1 Sn 2.42, 1 Zn 2.45
S  0.8828  0.3749  0.0567  1 Zn 2.32, 1 Sn 2.41
S  0.9585  0.8244  0.3356  1 Sn 2.42, 1 Zn 2.45

***

Repeat the third record exactly.
VASP calculation (PBE) on a relaxed SrZnSn2S6 crystal.

The value obtained for the density is 3.44 g/cm³. The space group is No. 15. The calculated total energy comes out at -4.303 eV per atom.

Unit cell a=9.1030 b=9.1030 c=7.3997 alpha=106.73 beta=106.73 gamma=84.58
With the nearest neighbours (Å) after each atom.
Positions (direct):
Sr  0.1373  0.8627  0.7500  6 S 2.96-3.09
Sr  0.8627  0.1373  0.2500  6 S 2.96-3.09
Zn  0.2020  0.7980  0.2500  4 S 2.32-2.45
Zn  0.7980  0.2020  0.7500  4 S 2.32-2.45
Sn  0.2271  0.3793  0.8176  4 S 2.41-2.48
Sn  0.3793  0.2271  0.3176  4 S 2.41-2.48
Sn  0.6207  0.7729  0.6824  4 S 2.41-2.48
Sn  0.7729  0.6207  0.1824  4 S 2.41-2.48
S  0.0415  0.1756  0.6644  1 Sn 2.42, 1 Zn 2.45
S  0.1172  0.6251  0.9433  1 Zn 2.32, 1 Sn 2.41
S  0.1756  0.0415  0.1644  1 Sn 2.42, 1 Zn 2.45
S  0.2958  0.4448  0.5490  2 Sn 2.44-2.48
S  0.3749  0.8828  0.5567  1 Zn 2.32, 1 Sn 2.41
S  0.4448  0.2958  0.0490  2 Sn 2.44-2.48
S  0.5552  0.7042  0.9510  2 Sn 2.44-2.48
S  0.6251  0.1172  0.4433  1 Zn 2.32, 1 Sn 2.41
S  0.7042  0.5552  0.4510  2 Sn 2.44-2.48
S  0.8244  0.9585  0.8356  1 Sn 2.42, 1 Zn 2.45
S  0.8828  0.3749  0.0567  1 Zn 2.32, 1 Sn 2.41
S  0.9585  0.8244  0.3356  1 Sn 2.42, 1 Zn 2.45

***

What is the formula in the second record? InAgBi2H

***

Number 2 is which compound? InAgBi2H

***

density of number 3 (SrZnSn2S6)? 3.44 g/cm³